Run i
Density functional theory data (GGA-PBE) for crystalline Ge2Pb2Au at its relaxed geometry.

Cell and atoms, written as CIF:
```
data_Ge2Pb2Au
_symmetry_space_group_name_H-M 'P 4/m b m'
_symmetry_Int_Tables_number 127
_symmetry_space_group_name_Hall '-P 4 2ab'
_cell_length_a 6.751
_cell_length_b 6.751
_cell_length_c 5.387
_cell_angle_alpha 90.00
_cell_angle_beta 90.00
_cell_angle_gamma 90.00
loop_
_atom_site_label
_atom_site_fract_x
_atom_site_fract_y
_atom_site_fract_z
Ge1 0.135 0.365 0.000
Pb1 0.181 0.681 0.500
Au1 0.000 0.000 0.000
```

***

Run ii
Density functional theory data (GGA-PBE) for crystalline Ge2Pb2Au at its relaxed geometry.

Cell and atoms, written as CIF:
```
data_Ge2Pb2Au
_symmetry_space_group_name_H-M 'I 4/m m m'
_symmetry_Int_Tables_number 139
_symmetry_space_group_name_Hall '-I 4 2'
_cell_length_a 5.870
_cell_length_b 5.870
_cell_length_c 7.643
_cell_angle_alpha 90.00
_cell_angle_beta 90.00
_cell_angle_gamma 90.00
loop_
_atom_site_label
_atom_site_fract_x
_atom_site_fract_y
_atom_site_fract_z
Ge1 0.000 0.000 0.163
Pb1 0.000 0.500 0.250
Au1 0.000 0.000 0.500
```

***

Energy ordering: run i at the bottom, the next structure 183 meV/atom above.

***

Run i
Density functional theory data (GGA-PBE) for crystalline Ge2Pb2Au at its relaxed geometry.

Cell and atoms, written as CIF:
```
data_Ge2Pb2Au
_symmetry_space_group_name_H-M 'P 4/m b m'
_symmetry_Int_Tables_number 127
_symmetry_space_group_name_Hall '-P 4 2ab'
_cell_length_a 7.958
_cell_length_b 7.958
_cell_length_c 4.290
_cell_angle_alpha 90.00
_cell_angle_beta 90.00
_cell_angle_gamma 90.00
loop_
_atom_site_label
_atom_site_fract_x
_atom_site_fract_y
_atom_site_fract_z
Ge1 0.111 0.389 0.000
Pb1 0.179 0.679 0.500
Au1 0.000 0.000 0.500
```

***

Run ii
Density functional theory data (GGA-PBE) for crystalline Ge2Pb2Au at its relaxed geometry.

Cell and atoms, written as CIF:
```
data_Ge2Pb2Au
_symmetry_space_group_name_H-M 'I 4/m m m'
_symmetry_Int_Tables_number 139
_symmetry_space_group_name_Hall '-I 4 2'
_cell_length_a 3.729
_cell_length_b 3.729
_cell_length_c 17.882
_cell_angle_alpha 90.00
_cell_angle_beta 90.00
_cell_angle_gamma 90.00
loop_
_atom_site_label
_atom_site_fract_x
_atom_site_fract_y
_atom_site_fract_z
Ge1 0.000 0.500 0.250
Pb1 0.000 0.000 0.099
Au1 0.000 0.000 0.500
```

***

Energy ordering: run ii at the bottom, the next structure 152 meV/atom above.

***

Run i
Density functional theory data (GGA-PBE) for crystalline GePbAu2 at its relaxed geometry.

Cell and atoms, written as CIF:
```
data_GePbAu2
_symmetry_space_group_name_H-M 'R -3 m'
_symmetry_Int_Tables_number 166
_symmetry_space_group_name_Hall '-R 3 2"'
_cell_length_a 4.2538
_cell_length_b 4.2538
_cell_length_c 17.6405
_cell_angle_alpha 90.00
_cell_angle_beta 90.00
_cell_angle_gamma 120.00
loop_
_atom_site_label
_atom_site_fract_x
_atom_site_fract_y
_atom_site_fract_z
Ge1 0.0000 0.0000 0.0000
Pb1 0.0000 0.0000 0.5000
Au1 0.0000 0.0000 0.2709
```

***

Run ii
Density functional theory data (GGA-PBE) for crystalline GePbAu2 at its relaxed geometry.

Cell and atoms, written as CIF:
```
data_GePbAu2
_symmetry_space_group_name_H-M 'P 4/m m m'
_symmetry_Int_Tables_number 123
_symmetry_space_group_name_Hall '-P 4 2'
_cell_length_a 4.842
_cell_length_b 4.842
_cell_length_c 3.705
_cell_angle_alpha 90.00
_cell_angle_beta 90.00
_cell_angle_gamma 90.00
loop_
_atom_site_label
_atom_site_fract_x
_atom_site_fract_y
_atom_site_fract_z
Ge1 0.000 0.000 0.000
Pb1 0.500 0.500 0.000
Au1 0.000 0.500 0.500
```

***

Energy ordering: run i at the bottom, the next structure 111 meV/atom above.

***

Run i
Density functional theory data (GGA-PBE) for crystalline GePbAu2 at its relaxed geometry.

Cell and atoms, written as CIF:
```
data_GePbAu2
_symmetry_space_group_name_H-M 'P 4/m m m'
_symmetry_Int_Tables_number 123
_symmetry_space_group_name_Hall '-P 4 2'
_cell_length_a 3.385
_cell_length_b 3.385
_cell_length_c 7.552
_cell_angle_alpha 90.00
_cell_angle_beta 90.00
_cell_angle_gamma 90.00
loop_
_atom_site_label
_atom_site_fract_x
_atom_site_fract_y
_atom_site_fract_z
Ge1 0.000 0.000 0.000
Pb1 0.000 0.000 0.500
Au1 0.500 0.500 0.208
```

***

Run ii
Density functional theory data (GGA-PBE) for crystalline GePbAu2 at its relaxed geometry.

Cell and atoms, written as CIF:
```
data_GePbAu2
_symmetry_space_group_name_H-M 'I -4 2 d'
_symmetry_Int_Tables_number 122
_symmetry_space_group_name_Hall 'I -4 2bw'
_cell_length_a 4.922
_cell_length_b 4.922
_cell_length_c 16.614
_cell_angle_alpha 90.00
_cell_angle_beta 90.00
_cell_angle_gamma 90.00
loop_
_atom_site_label
_atom_site_fract_x
_atom_site_fract_y
_atom_site_fract_z
Ge1 0.000 0.000 0.000
Pb1 0.000 0.000 0.500
Au1 0.166 0.250 0.125
```

***

Energy ordering: run ii at the bottom, the next structure 6 meV/atom above.

***

Run i
Density functional theory data (GGA-PBE) for crystalline Ge2PdAu2 at its relaxed geometry.

Cell and atoms, written as CIF:
```
data_Ge2PdAu2
_symmetry_space_group_name_H-M 'I 4/m m m'
_symmetry_Int_Tables_number 139
_symmetry_space_group_name_Hall '-I 4 2'
_cell_length_a 3.736
_cell_length_b 3.736
_cell_length_c 13.442
_cell_angle_alpha 90.00
_cell_angle_beta 90.00
_cell_angle_gamma 90.00
loop_
_atom_site_label
_atom_site_fract_x
_atom_site_fract_y
_atom_site_fract_z
Ge1 0.000 0.500 0.250
Pd1 0.000 0.000 0.000
Au1 0.000 0.000 0.400
```

***

Run ii
Density functional theory data (GGA-PBE) for crystalline Ge2PdAu2 at its relaxed geometry.

Cell and atoms, written as CIF:
```
data_Ge2PdAu2
_symmetry_space_group_name_H-M 'P 4/m b m'
_symmetry_Int_Tables_number 127
_symmetry_space_group_name_Hall '-P 4 2ab'
_cell_length_a 7.339
_cell_length_b 7.339
_cell_length_c 3.447
_cell_angle_alpha 90.00
_cell_angle_beta 90.00
_cell_angle_gamma 90.00
loop_
_atom_site_label
_atom_site_fract_x
_atom_site_fract_y
_atom_site_fract_z
Ge1 0.169 0.331 0.000
Pd1 0.000 0.000 0.500
Au1 0.138 0.638 0.500
```

***

Energy ordering: run ii at the bottom, the next structure 114 meV/atom above.

***

Run i
Density functional theory data (GGA-PBE) for crystalline GePd4Au2 at its relaxed geometry.

Cell and atoms, written as CIF:
```
data_GePd4Au2
_symmetry_space_group_name_H-M 'I 21 21 21'
_symmetry_Int_Tables_number 24
_cell_length_a 7.335
_cell_length_b 7.436
_cell_length_c 8.585
_cell_angle_alpha 90.00
_cell_angle_beta 90.00
_cell_angle_gamma 90.00
loop_
_symmetry_equiv_pos_as_xyz
'x,y,z'
'-x,-y+1/2,z'
'x,-y,-z+1/2'
'-x,y+1/2,-z+1/2'
'x+1/2,y+1/2,z+1/2'
'-x+1/2,-y,z+1/2'
'x+1/2,-y+1/2,-z'
'-x+1/2,y,-z'
loop_
_atom_site_label
_atom_site_fract_x
_atom_site_fract_y
_atom_site_fract_z
Ge1 0.000 0.250 0.217
Pd1 0.065 0.466 0.433
Pd2 0.206 0.160 0.658
Au1 0.115 0.500 0.750
Au2 0.250 0.184 0.000
```

***

Run ii
Density functional theory data (GGA-PBE) for crystalline GePd4Au2 at its relaxed geometry.

Cell and atoms, written as CIF:
```
data_GePd4Au2
_symmetry_space_group_name_H-M 'I 4/m m m'
_symmetry_Int_Tables_number 139
_symmetry_space_group_name_Hall '-I 4 2'
_cell_length_a 4.662
_cell_length_b 4.662
_cell_length_c 13.130
_cell_angle_alpha 90.00
_cell_angle_beta 90.00
_cell_angle_gamma 90.00
loop_
_atom_site_label
_atom_site_fract_x
_atom_site_fract_y
_atom_site_fract_z
Ge1 0.000 0.000 0.000
Pd1 0.000 0.000 0.178
Pd2 0.000 0.500 0.000
Au1 0.000 0.000 0.381
```

***

Energy ordering: run i at the bottom, the next structure 429 meV/atom above.

***

Run i
Density functional theory data (GGA-PBE) for crystalline Ge2Pd4Au at its relaxed geometry.

Cell and atoms, written as CIF:
```
data_Ge2Pd4Au
_symmetry_space_group_name_H-M 'R -3 m'
_symmetry_Int_Tables_number 166
_symmetry_space_group_name_Hall '-R 3 2"'
_cell_length_a 4.0785
_cell_length_b 4.0785
_cell_length_c 25.7283
_cell_angle_alpha 90.00
_cell_angle_beta 90.00
_cell_angle_gamma 120.00
loop_
_atom_site_label
_atom_site_fract_x
_atom_site_fract_y
_atom_site_fract_z
Ge1 0.0000 0.0000 0.1005
Pd1 0.0000 0.0000 0.2002
Pd2 0.0000 0.0000 0.3959
Au1 0.0000 0.0000 0.0000
```

***

Run ii
Density functional theory data (GGA-PBE) for crystalline Ge2Pd4Au at its relaxed geometry.

Cell and atoms, written as CIF:
```
data_Ge2Pd4Au
_symmetry_space_group_name_H-M 'I 4/m m m'
_symmetry_Int_Tables_number 139
_symmetry_space_group_name_Hall '-I 4 2'
_cell_length_a 3.724
_cell_length_b 3.724
_cell_length_c 19.749
_cell_angle_alpha 90.00
_cell_angle_beta 90.00
_cell_angle_gamma 90.00
loop_
_atom_site_label
_atom_site_fract_x
_atom_site_fract_y
_atom_site_fract_z
Ge1 0.000 0.000 0.156
Pd1 0.000 0.000 0.366
Pd2 0.000 0.500 0.250
Au1 0.000 0.000 0.500
```

***

Energy ordering: run i at the bottom, the next structure 232 meV/atom above.

***

Run i
Density functional theory data (GGA-PBE) for crystalline GePd5Au at its relaxed geometry.

Cell and atoms, written as CIF:
```
data_GePd5Au
_symmetry_space_group_name_H-M 'C 1 2/c 1'
_symmetry_Int_Tables_number 15
_cell_length_a 11.585
_cell_length_b 6.680
_cell_length_c 7.759
_cell_angle_alpha 90.00
_cell_angle_beta 127.06
_cell_angle_gamma 90.00
loop_
_symmetry_equiv_pos_as_xyz
'x,y,z'
'-x,-y,-z'
'-x,y,-z+1/2'
'x,-y,z+1/2'
'x+1/2,y+1/2,z'
'-x+1/2,-y+1/2,-z'
'-x+1/2,y+1/2,-z+1/2'
'x+1/2,-y+1/2,z+1/2'
loop_
_atom_site_label
_atom_site_fract_x
_atom_site_fract_y
_atom_site_fract_z
Ge1 0.000 0.094 0.250
Pd1 0.000 0.455 0.250
Pd2 0.012 0.204 0.570
Pd3 0.243 0.123 0.343
Au1 0.250 0.250 0.000
```

***

Run ii
Density functional theory data (GGA-PBE) for crystalline GePd5Au at its relaxed geometry.

Cell and atoms, written as CIF:
```
data_GePd5Au
_symmetry_space_group_name_H-M 'P 4/m m m'
_symmetry_Int_Tables_number 123
_symmetry_space_group_name_Hall '-P 4 2'
_cell_length_a 4.043
_cell_length_b 4.043
_cell_length_c 7.006
_cell_angle_alpha 90.00
_cell_angle_beta 90.00
_cell_angle_gamma 90.00
loop_
_atom_site_label
_atom_site_fract_x
_atom_site_fract_y
_atom_site_fract_z
Ge1 0.000 0.000 0.000
Pd1 0.000 0.000 0.500
Pd2 0.000 0.500 0.211
Au1 0.500 0.500 0.500
```

***

Energy ordering: run ii at the bottom, the next structure 155 meV/atom above.